Below is a crystal of CaMnSb2 relaxed with PBEsol, with properties calculated at the meta-GGA SCAN level.

Computed properties:
Uncorrected energy in Ry/atom: -1.909
Total magnetization in μB/f.u.: 3.94

a = 3.5380 Å, b = 3.5380 Å, c = 7.7456 Å
α = 90.00°, β = 90.00°, γ = 105.10°
With the nearest neighbours (Å) after each atom.
Atoms (fractional coordinates):
Sb 0.0000 0.0000 0.2123  2 Mn 2.71
Sb 0.0000 0.0000 0.7877  2 Mn 2.71
Ca 0.5000 0.5000 0.5000  4 Sb 3.10
Mn 0.5000 0.5000 0.0000  4 Sb 2.71


Below is a crystal of CaMnSb4 relaxed with PBEsol, with properties calculated at the meta-GGA SCAN level.

Computed properties:
Uncorrected energy in Ry/atom: -2.162
Total magnetization in μB/f.u.: 4.92

a = 6.1766 Å, b = 6.1766 Å, c = 6.1766 Å
α = 60.00°, β = 60.00°, γ = 60.00°
With the nearest neighbours (Å) after each atom.
Atoms (fractional coordinates):
Sb 0.3743 0.3743 0.3743  6 Sb 3.07-3.10
Sb 0.3743 0.3743 0.8770  6 Sb 3.07-3.10
Sb 0.8770 0.3743 0.3743  6 Sb 3.07-3.10
Sb 0.3743 0.8770 0.3743  6 Sb 3.07-3.10
Ca 0.7500 0.7500 0.7500  12 Sb 3.62, 4 Mn 3.78
Mn 0.0000 0.0000 0.0000  12 Sb 3.62, 4 Ca 3.78


Below is a crystal of CaMnSb2 relaxed with PBEsol, with properties calculated at the meta-GGA SCAN level.

Computed properties:
Uncorrected energy in Ry/atom: -1.905
Total magnetization in μB/f.u.: 3.91

a = 5.0946 Å, b = 5.0946 Å, c = 5.0946 Å
α = 60.00°, β = 60.00°, γ = 60.00°
With the nearest neighbours (Å) after each atom.
Atoms (fractional coordinates):
Sb 0.2500 0.2500 0.2500  4 Mn 3.12, 4 Ca 3.12
Sb 0.7500 0.7500 0.7500  4 Mn 3.12, 4 Ca 3.12
Ca 0.0000 0.0000 0.0000  8 Sb 3.12
Mn 0.5000 0.5000 0.5000  8 Sb 3.12